DFT (PBE) results for a relaxed structure of K6Te2O.

The energy relative to the elements, uncorrected is -1.04 eV/atom. The distance to the lowest polymorph of the same formula comes out at 0.00 eV/f.u. Its total magnetic moment is 0.14 Bohr magnetons per cell. As for the final energy: -3.02 eV per atom.

a b c (Å): 5.9900 7.6626 7.6626
angles (deg): 120.00 90.00 90.00
With the nearest neighbours (Å) after each atom.
Fractional positions:
K 0.7226 0.8299 0.6599  1 O 2.62
K 0.7226 0.8299 0.1701  1 O 2.62
K 0.2774 0.6599 0.8299  1 O 2.62
K 0.7226 0.3401 0.1701  1 O 2.62
K 0.2774 0.1701 0.8299  1 O 2.62
K 0.2774 0.1701 0.3401  1 O 2.62
Te 0.2319 0.6667 0.3333  12 K 3.65-3.84
Te 0.7681 0.3333 0.6667  12 K 3.65-3.84
O 0.5000 0.0000 0.0000  6 K 2.62